Entry 1:
The following is a DFT calculation (PBE) of Na2GeAu5 after structural relaxation.

```
Na2GeAu5
1.0
6.325 0.000 0.000
0.000 6.325 0.000
0.000 0.000 9.615
Na Ge Au
4 2 10
Direct
0.000 0.500 0.000
0.000 0.500 0.500
0.500 0.000 0.000
0.500 0.000 0.500
0.000 0.000 0.287
0.500 0.500 0.787
0.000 0.000 0.544
0.224 0.224 0.752
0.224 0.776 0.752
0.276 0.276 0.252
0.276 0.724 0.252
0.500 0.500 0.044
0.724 0.276 0.252
0.724 0.724 0.252
0.776 0.224 0.752
0.776 0.776 0.752
```

The formation energy from the elements comes out at -0.173 eV/atom. For the size of the total moment, the calculation gives 0.00 μB per formula unit.


Entry 2:
The following is a DFT calculation (PBE) of K3Np3AgS8 after structural relaxation.

```
K3Np3AgS8
1.0
6.977 -3.975 0.000
6.977 3.975 0.000
-4.672 0.000 7.406
K Np Ag S
3 3 1 8
Direct
0.000 0.000 0.000
0.000 0.500 0.000
0.500 0.000 0.000
0.000 0.500 0.500
0.500 0.000 0.500
0.500 0.500 0.500
0.000 0.000 0.500
0.238 0.718 0.696
0.247 0.247 0.699
0.265 0.265 0.296
0.282 0.762 0.304
0.718 0.238 0.696
0.735 0.735 0.704
0.753 0.753 0.301
0.762 0.282 0.304
```

For the size of the total moment, the calculation gives 2.92 μB per formula unit. Its formation energy without anion corrections is -1.16 eV per atom.


Entry 3:
The following is a DFT calculation (PBE) of AcZn2Cd after structural relaxation.

```
AcZn2Cd
1.0
7.218 0.000 0.000
0.000 4.848 0.000
0.000 0.000 11.001
Ac Zn Cd
4 8 4
Direct
0.000 0.000 0.000
0.000 0.500 0.500
0.500 0.000 0.178
0.500 0.500 0.678
0.000 0.000 0.304
0.000 0.500 0.804
0.316 0.000 0.460
0.316 0.500 0.960
0.500 0.000 0.885
0.500 0.500 0.385
0.684 0.000 0.460
0.684 0.500 0.960
0.196 0.000 0.713
0.196 0.500 0.213
0.804 0.000 0.713
0.804 0.500 0.213
```

The formation energy from the elements comes out at -0.248 eV/atom. For the size of the total moment, the calculation gives 0.00 μB per formula unit.


Entry 4:
The following is a DFT calculation (PBE) of Hf8Fe2S after structural relaxation.

```
Hf8Fe2S
1.0
6.361 0.000 0.000
-3.053 5.785 0.000
-0.499 -2.136 6.164
Hf Fe S
8 2 1
Direct
0.128 0.214 0.210
0.225 0.733 0.108
0.282 0.320 0.772
0.311 0.770 0.620
0.689 0.230 0.380
0.718 0.680 0.228
0.775 0.267 0.892
0.872 0.786 0.790
0.364 0.097 0.980
0.636 0.903 0.020
0.500 0.500 0.500
```

For the size of the total moment, the calculation gives 0.00 μB per formula unit. Its formation energy without anion corrections is -0.21 eV per atom.


Entry 5:
The following is a DFT calculation (PBE) of SiSe2I after structural relaxation.

```
SiSe2I
1.0
3.477 0.000 0.000
-1.738 3.011 0.000
0.000 0.000 37.150
Si Se I
3 6 3
Direct
0.000 0.000 0.000
0.333 0.667 0.667
0.667 0.333 0.333
0.000 0.000 0.372
0.000 0.000 0.628
0.333 0.667 0.039
0.333 0.667 0.294
0.667 0.333 0.706
0.667 0.333 0.961
0.000 0.000 0.500
0.333 0.667 0.167
0.667 0.333 0.833
```

For the size of the total moment, the calculation gives 0.00 μB per formula unit. For the polymorph energy (0 for the lowest one), the calculation gives 0.16 eV/f.u. Its formation energy without anion corrections is -0.17 eV per atom.


Entry 6:
The following is a DFT calculation (PBE) of Dy2PuTe after structural relaxation.

```
Dy2PuTe
1.0
3.829 0.000 0.000
-1.914 3.316 0.000
0.000 0.000 29.515
Dy Pu Te
6 3 3
Direct
0.000 0.000 0.239
0.000 0.000 0.761
0.333 0.667 0.427
0.333 0.667 0.906
0.667 0.333 0.094
0.667 0.333 0.573
0.000 0.000 0.000
0.333 0.667 0.667
0.667 0.333 0.333
0.000 0.000 0.500
0.333 0.667 0.167
0.667 0.333 0.833
```

For the size of the total moment, the calculation gives 7.43 μB per formula unit. For the polymorph energy (0 for the lowest one), the calculation gives 0.22 eV/f.u. Its formation energy without anion corrections is -0.41 eV per atom.